No. 1
DFT (PBE) results for a relaxed structure of KCr2Os.

- ΔH_f (0 K): 0.785 eV per atom
- Calculated total energy: -7.109 eV/atom
- Space group: Pmmm (47)

Lattice parameters (Å, degrees): 2.847 3.772 7.590 90.00 90.00 90.00
Atoms (fractional coordinates):
K 0.500 0.500 0.250
Cr 0.000 0.000 0.883
Cr 0.000 0.000 0.617
Os 0.500 0.500 0.750

---

No. 2
DFT (PBE) results for a relaxed structure of KCr2Os.

- ΔH_f (0 K): 0.878 eV per atom
- Calculated total energy: -7.015 eV/atom
- Space group: C2/m (12)

Lattice parameters (Å, degrees): 4.704 4.704 6.717 86.26 86.26 35.05
Each line ends with the local moment (μB).
Atoms (fractional coordinates):
Cr 0.523 0.523 0.361  0.11
K 0.750 0.750 0.750  0.01
Os 0.250 0.250 0.250  0.08
Cr 0.977 0.977 0.139  0.11

---

No. 3
DFT (PBE) results for a relaxed structure of K4CrOs.

- ΔH_f (0 K): 1.592 eV per atom
- Calculated total energy: -2.615 eV/atom
- Space group: F-43m (216)

Lattice parameters (Å, degrees): 6.798 6.798 6.798 60.00 60.00 60.00
Each line ends with the local moment (μB).
Atoms (fractional coordinates):
Os 0.750 0.750 0.750  2.06
Cr 0.000 0.000 0.000  4.21
K 0.376 0.376 0.376  0.00
K 0.376 0.376 0.871  0.00
K 0.376 0.871 0.376  0.00
K 0.871 0.376 0.376  0.00